VASP calculation (GGA-PBE) on a relaxed structure of Ho5ErZn4.

The calculation puts the energy of formation from the pure elements at -0.2705 eV/atom. The space group is P4/mmm (123). The value obtained for the total energy is -3.525 eV/atom.

a = 3.547 Å, b = 3.547 Å, c = 19.228 Å
α = 90.00°, β = 90.00°, γ = 90.00°
Sites, in units of the cell vectors:
Ho 0.000 0.000 0.000
Ho 0.000 0.000 0.184
Ho 0.000 0.000 0.369
Ho 0.000 0.000 0.631
Ho 0.000 0.000 0.816
Er 0.500 0.500 0.500
Zn 0.500 0.500 0.093
Zn 0.500 0.500 0.277
Zn 0.500 0.500 0.723
Zn 0.500 0.500 0.907

=====

VASP calculation (GGA-PBE) on a relaxed structure of La2PbW.

The calculation puts the energy of formation from the pure elements at 0.4138 eV/atom. The space group is P4mm (99). The value obtained for the total energy is -6.215 eV/atom.

a = 3.788 Å, b = 3.788 Å, c = 7.272 Å
α = 90.00°, β = 90.00°, γ = 90.00°
Sites, in units of the cell vectors:
La 0.000 0.000 0.000
La 0.500 0.500 0.292
Pb 0.000 0.000 0.562
W 0.500 0.500 0.750

=====

VASP calculation (GGA-PBE) on a relaxed structure of SrAl10Ag2.

The calculation puts the energy of formation from the pure elements at -0.0821 eV/atom. The space group is Fmmm (69). The value obtained for the total energy is -3.529 eV/atom.

a = 9.383 Å, b = 7.357 Å, c = 7.008 Å
α = 81.52°, β = 50.86°, γ = 47.62°
Sites, in units of the cell vectors:
Sr 0.000 0.000 0.000
Al 0.000 0.000 0.500
Al 0.004 0.644 0.356
Al 0.275 0.500 0.500
Al 0.356 0.996 0.004
Al 0.500 0.275 0.725
Al 0.500 0.500 0.000
Al 0.500 0.725 0.275
Al 0.644 0.004 0.996
Al 0.725 0.500 0.500
Al 0.996 0.356 0.644
Ag 0.000 0.500 0.000
Ag 0.500 0.000 0.500

=====

VASP calculation (GGA-PBE) on a relaxed structure of ReW2Cl.

The value obtained for the energy above the lowest structure with this stoichiometry is 403 meV/atom. The uncorrected formation energy comes out at 0.81 eV/atom. The space group is Imm2 (44). The value obtained for the total energy is -9.245 eV/atom.

a = 5.313 Å, b = 5.313 Å, c = 5.313 Å
α = 148.01°, β = 129.30°, γ = 61.22°
Sites, in units of the cell vectors:
Re 0.000 0.000 0.000
W 0.256 0.756 0.500
W 0.539 0.539 0.000
Cl 0.763 0.263 0.500